Entry 1:
A geometry-optimized LiSbPb2 structure. Source: the Alexandria database, functional PBE.

Properties
The volume comes out at 111.7 Å³ per cell. As for the energy relative to the elements, uncorrected: -0.060 eV/atom. As for the crystal system: tetragonal. The symmetry is P4/mmm.

abc: 4.139 4.139 6.522
angles: 90.00 90.00 90.00
Fractional positions:
1 Li 0.500 0.500 0.750
2 Pb 0.000 0.000 0.004
3 Pb 0.000 0.000 0.496
4 Sb 0.500 0.500 0.250

Entry 2:
A geometry-optimized ErMn4Si2 structure. Source: the Alexandria database, functional PBE.

Properties
The volume comes out at 96.7 Å³ per cell. As for the energy relative to the elements, uncorrected: -0.467 eV/atom. As for the crystal system: orthorhombic. The symmetry is Cmmm.

abc: 3.876 3.851 6.760
angles: 90.00 106.66 90.00
Fractional positions:
1 Er 0.000 0.000 0.000
2 Mn 0.200 0.500 0.400
3 Mn 0.299 0.000 0.599
4 Mn 0.800 0.500 0.600
5 Mn 0.701 0.000 0.401
6 Si 0.406 0.500 0.812
7 Si 0.594 0.500 0.188

Entry 3:
A geometry-optimized HoGaAg4 structure. Source: the Alexandria database, functional PBE.

Properties
The formation energy comes out at -0.1503 eV/atom. The volume comes out at 119.9 Å³ per cell. The value obtained for the relative energy among the computed polymorphs is 0.000 eV per atom. As for the crystal system: cubic. The symmetry is F-43m.

abc: 5.535 5.535 5.535
angles: 60.00 60.00 60.00
Fractional positions:
1 Ga 0.000 0.000 0.000
2 Ho 0.250 0.250 0.250
3 Ag 0.625 0.625 0.125
4 Ag 0.625 0.125 0.625
5 Ag 0.625 0.625 0.625
6 Ag 0.125 0.625 0.625

Entry 4:
A geometry-optimized BaSi2Os structure. Source: the Alexandria database, functional PBE.

Properties
The volume comes out at 77.2 Å³ per cell. As for the energy relative to the elements, uncorrected: 0.582 eV/atom. As for the crystal system: cubic. The symmetry is Fm-3m.

abc: 4.780 4.780 4.780
angles: 60.00 60.00 60.00
Fractional positions:
1 Si 0.250 0.250 0.250
2 Si 0.750 0.750 0.750
3 Os 0.500 0.500 0.500
4 Ba 0.000 0.000 0.000

Entry 5:
A geometry-optimized SrInMo2 structure. Source: the Alexandria database, functional PBE.

Properties
The formation energy comes out at 0.9839 eV/atom. The volume comes out at 83.2 Å³ per cell. As for the crystal system: trigonal. The symmetry is R-3m.

abc: 10.473 10.473 10.473
angles: 16.75 16.75 16.75
Fractional positions:
1 In 0.750 0.750 0.750
2 Mo 0.008 0.008 0.008
3 Mo 0.492 0.492 0.492
4 Sr 0.250 0.250 0.250

Entry 6:
A geometry-optimized RbNa3Ni structure. Source: the Alexandria database, functional PBE.

Properties
The formation energy comes out at 1.1736 eV/atom. The volume comes out at 244.3 Å³ per cell. The value obtained for the relative energy among the computed polymorphs is 0.803 eV per atom. As for the crystal system: cubic. The symmetry is Pm-3m.

abc: 6.251 6.251 6.251
angles: 90.00 90.00 90.00
Fractional positions:
1 Ni 0.500 0.500 0.500
2 Rb 0.000 0.000 0.000
3 Na 0.000 0.500 0.000
4 Na 0.000 0.000 0.500
5 Na 0.500 0.000 0.000

Entry 7:
A geometry-optimized PmPr12Sm2 structure. Source: the Alexandria database, functional PBE.

Properties
The formation energy comes out at 0.2998 eV/atom. The volume comes out at 1141.7 Å³ per cell. As for the crystal system: tetragonal. The symmetry is P4/nbm.

abc: 6.652 6.652 25.804
angles: 90.00 90.00 90.00
Fractional positions:
1 Pm 0.500 0.000 0.000
2 Pm 0.000 0.500 0.000
3 Pr 0.500 0.500 0.785
4 Pr 0.000 0.000 0.785
5 Pr 0.684 0.816 0.886
6 Pr 0.184 0.684 0.886
7 Pr 0.000 0.000 0.338
8 Pr 0.316 0.816 0.114
9 Pr 0.832 0.332 0.562
10 Pr 0.500 0.500 0.338
11 Pr 0.316 0.184 0.886
12 Pr 0.816 0.684 0.114
13 Pr 0.332 0.168 0.562
14 Pr 0.668 0.168 0.438
15 Pr 0.000 0.000 0.662
16 Pr 0.168 0.332 0.438
17 Pr 0.184 0.316 0.114
18 Pr 0.832 0.668 0.438
19 Pr 0.668 0.832 0.562
20 Pr 0.000 0.000 0.215
21 Pr 0.168 0.668 0.562
22 Pr 0.500 0.500 0.662
23 Pr 0.816 0.316 0.886
24 Pr 0.500 0.500 0.215
25 Pr 0.332 0.832 0.438
26 Pr 0.684 0.184 0.114
27 Sm 0.500 0.000 0.269
28 Sm 0.000 0.500 0.269
29 Sm 0.000 0.500 0.731
30 Sm 0.500 0.000 0.731

Entry 8:
A geometry-optimized BaSnCl6 structure. Source: the Alexandria database, functional PBE.

Properties
The volume comes out at 250.5 Å³ per cell. As for the energy relative to the elements, uncorrected: -1.496 eV/atom. The value obtained for the relative energy among the computed polymorphs is 0.005 eV per atom. As for the crystal system: monoclinic. The symmetry is C2/m.

abc: 6.103 7.893 6.775
angles: 125.63 101.05 70.79
Fractional positions:
1 Ba 0.000 0.000 0.000
2 Sn 0.500 0.500 0.000
3 Cl 0.585 0.788 0.000
4 Cl 0.206 0.793 0.313
5 Cl 0.415 0.212 0.000
6 Cl 0.794 0.520 0.313
7 Cl 0.794 0.207 0.687
8 Cl 0.206 0.480 0.687

Sequential magnetic moment output: 0.000, 0.001, 0.000, 0.000, 0.000, 0.000, 0.000, 0.000 μB/f.u.